# GGA+U Rb3W2O8, relaxed
data_Rb3W2O8
_symmetry_space_group_name_H-M 'P 1'
_symmetry_Int_Tables_number 1
_cell_length_a 8.354
_cell_length_b 8.354
_cell_length_c 8.354
_cell_angle_alpha 45.59
_cell_angle_beta 45.59
_cell_angle_gamma 45.59
loop_
_symmetry_equiv_pos_as_xyz
'x,y,z'
loop_
_atom_site_label
_atom_site_type_symbol
_atom_site_fract_x
_atom_site_fract_y
_atom_site_fract_z
Rb1 Rb 0.000 0.000 0.000
Rb2 Rb 0.196 0.196 0.196
Rb3 Rb 0.804 0.804 0.804
W1 W 0.405 0.405 0.405
W2 W 0.595 0.595 0.595
O1 O 0.262 0.722 0.722
O2 O 0.278 0.278 0.738
O3 O 0.278 0.738 0.278
O4 O 0.323 0.323 0.323
O5 O 0.677 0.677 0.677
O6 O 0.722 0.262 0.722
O7 O 0.722 0.722 0.262
O8 O 0.738 0.278 0.278
# Calculated total energy, eV per atom: -6.239
# Calculated volume, Å³/f.u.: 271
# M_tot, Bohr magnetons per cell: 1.142